KCo2W | GGA-PBE | relaxed

Calculated values
Symmetry: Imm2
Total magnetic moment, μB/cell: 2.02
Distance to the lowest polymorph of the same formula, eV per atom: 0.5218
DFT formation energy, eV per atom: 1.090

Cell and atoms, written as POSCAR:
```
KCo2W
1.0
-5.685 -0.431 -1.457
-3.571 -4.105 2.241
3.467 4.748 0.250
Co K W
2 1 1
direct
0.008 0.008 0.000
0.207 0.707 0.500
0.493 0.493 0.000
0.792 0.292 0.500
```

KCoW2 | GGA-PBE | relaxed

Calculated values
Symmetry: Fm-3m
Total magnetic moment, μB/cell: 0.00
Distance to the lowest polymorph of the same formula, eV per atom: 1.1161
DFT formation energy, eV per atom: 1.922

Cell and atoms, written as POSCAR:
```
KCoW2
1.0
0.689 -4.324 -0.893
-2.269 -3.133 2.237
-3.158 -2.383 -2.077
K Co W
1 1 2
direct
0.000 0.000 0.000
0.500 0.500 0.500
0.250 0.250 0.250
0.750 0.750 0.750
```